{"formula": "Ta2CoHRh", "functional": "PBE-GGA", "state": "relaxed", "m_tot_mub_per_cell": 0.00, "space_group": "No. 123", "e_above_lowest_polymorph_ev_per_fu": 0.00, "cell": [[-2.515, 2.156, -2.346], [-2.417, 0.656, 3.194], [1.932, 3.142, 0.817]], "species": ["Co", "Rh", "H", "Ta", "Ta"], "fractional_positions": [[0.000, 0.000, 0.500], [0.500, 0.500, 0.500], [0.000, 0.000, 0.000], [0.000, 0.500, 0.000], [0.500, 0.000, 0.000]]}